The following is a PBE-GGA calculation of an optimized crystal structure of ZrUReOs, from the Alexandria database.

Properties
* formation energy: -0.2 eV per formula unit
* crystal system: cubic

Cell: 6.697 6.697 6.697 Å, 90.00 90.00 90.00°
Space group F-43m (No. 216)
Asymmetric unit:
Zr: 0.000 0.000 0.000 (multiplicity 4)
U: 0.000 0.000 0.500 (multiplicity 4)
Re: 0.250 0.250 0.750 (multiplicity 4)
Os: 0.250 0.250 0.250 (multiplicity 4)